Entry 1:
This record from Alexandria describes a relaxed TaP2RuO crystal. The functional is PBE.

Properties
E_form (uncorrected), meV per atom: 325
Polymorph energy (0 for the lowest one), meV per atom: 254
Magnetic moment, μB per formula unit: 0.25
Electronic total energy, eV for the cell shown: -35.3
V, Å³ per atom: 16.148
DOS at the Fermi energy, states/eV per atom: 1.2510
SG: P4/mmm

Cell lengths 4.751, 4.751, 3.577 Å; angles 90.00, 90.00, 90.00 degrees
Sites, in units of the cell vectors:
Ta  0.000  0.000  0.000
P  0.000  0.500  0.500
P  0.500  0.000  0.500
Ru  0.500  0.500  0.500
O  0.500  0.500  0.000

***

Entry 2:
This record from Alexandria describes a relaxed CaErAgPd crystal. The functional is PBE.

Properties
Magnetic moment, μB per formula unit: 0.00
Electronic total energy, eV for the cell shown: -67.0
V, Å³ per atom: 22.599
DOS at the Fermi energy, states/eV per atom: 0.4003
SG: F-43m
Formation energy, eV/atom: -0.5347

Cell lengths 7.124, 7.124, 7.124 Å; angles 90.00, 90.00, 90.00 degrees
Sites, in units of the cell vectors:
Ca  0.000  0.000  0.000
Ca  0.000  0.500  0.500
Ca  0.500  0.000  0.500
Ca  0.500  0.500  0.000
Er  0.000  0.000  0.500
Er  0.000  0.500  0.000
Er  0.500  0.000  0.000
Er  0.500  0.500  0.500
Ag  0.250  0.250  0.250
Ag  0.250  0.750  0.750
Ag  0.750  0.250  0.750
Ag  0.750  0.750  0.250
Pd  0.250  0.250  0.750
Pd  0.250  0.750  0.250
Pd  0.750  0.250  0.250
Pd  0.750  0.750  0.750

***

Entry 3:
This record from Alexandria describes a relaxed HoPaB2O8 crystal. The functional is PBE.

Properties
E_form (uncorrected), meV per atom: -2599
Magnetic moment, μB per formula unit: 2.05
Electronic total energy, eV for the cell shown: -98.3
V, Å³ per atom: 10.093
DOS at the Fermi energy, states/eV per atom: 0.2990
SG: I-4

Cell lengths 6.457, 6.457, 6.457 Å; angles 137.58, 137.58, 61.55 degrees
Sites, in units of the cell vectors:
Ho  0.000  0.000  0.000
Pa  0.750  0.250  0.500
B  0.250  0.750  0.500
B  0.500  0.500  0.000
O  0.061  0.926  0.625
O  0.074  0.699  0.135
O  0.185  0.314  0.644
O  0.301  0.436  0.375
O  0.459  0.815  0.129
O  0.564  0.939  0.865
O  0.670  0.541  0.356
O  0.686  0.330  0.871

***

Entry 4:
This record from Alexandria describes a relaxed MnHPdAu2 crystal. The functional is PBE.

Properties
Polymorph energy (0 for the lowest one), meV per atom: 17
Magnetic moment, μB per formula unit: 4.08
Electronic total energy, eV for the cell shown: -23.9
V, Å³ per atom: 13.817
DOS at the Fermi energy, states/eV per atom: 0.2908
SG: P4/mmm

Cell lengths 4.307, 4.307, 3.724 Å; angles 90.00, 90.00, 90.00 degrees
Sites, in units of the cell vectors:
Mn  0.000  0.000  0.000
H  0.000  0.000  0.500
Pd  0.500  0.500  0.000
Au  0.000  0.500  0.500
Au  0.500  0.000  0.500

***

Entry 5:
This record from Alexandria describes a relaxed KCaO3 crystal. The functional is PBE.

Properties
E_form (uncorrected), meV per atom: -1042
Magnetic moment, μB per formula unit: 3.00
Electronic total energy, eV for the cell shown: -23.2
V, Å³ per atom: 17.676
DOS at the Fermi energy, states/eV per atom: 0.4186
SG: Pm-3m

Cell lengths 4.454, 4.454, 4.454 Å; angles 90.00, 90.00, 90.00 degrees
Sites, in units of the cell vectors:
K  0.000  0.000  0.000
Ca  0.500  0.500  0.500
O  0.000  0.500  0.500
O  0.500  0.000  0.500
O  0.500  0.500  0.000

***

Entry 6:
This record from Alexandria describes a relaxed AsN crystal. The functional is PBE.

Properties
E_form (uncorrected), meV per atom: 8
Polymorph energy (0 for the lowest one), meV per atom: 0
Magnetic moment, μB per formula unit: 0.00
Electronic total energy, eV for the cell shown: -25.9
V, Å³ per atom: 27.963
DOS at the Fermi energy, states/eV per atom: 0.0000
SG: P1

Cell lengths 3.623, 3.624, 9.969 Å; angles 84.81, 80.49, 60.07 degrees
Sites, in units of the cell vectors:
As  0.000  0.000  0.000
As  0.396  0.338  0.858
N  0.127  0.366  0.378
N  0.974  0.542  0.475

***

Entry 7:
This record from Alexandria describes a relaxed Sr4Pm3S8 crystal. The functional is PBE.

Properties
E_form (uncorrected), meV per atom: -2027
Magnetic moment, μB per formula unit: 0.00
Electronic total energy, eV for the cell shown: -84.4
V, Å³ per atom: 26.984
DOS at the Fermi energy, states/eV per atom: 0.1547
SG: C2/m

Cell lengths 8.280, 8.280, 8.277 Å; angles 119.64, 119.64, 90.26 degrees
Sites, in units of the cell vectors:
Sr  0.000  0.000  0.000
Sr  0.000  0.500  0.000
Sr  0.500  0.000  0.000
Sr  0.500  0.500  0.500
Pm  0.000  0.500  0.500
Pm  0.500  0.000  0.500
Pm  0.500  0.500  0.000
S  0.250  0.750  0.500
S  0.254  0.254  0.511
S  0.254  0.746  0.000
S  0.262  0.262  0.006
S  0.738  0.738  0.994
S  0.746  0.254  0.000
S  0.746  0.746  0.489
S  0.750  0.250  0.500

***

Entry 8:
This record from Alexandria describes a relaxed Sm3MgCo crystal. The functional is PBE.

Properties
Polymorph energy (0 for the lowest one), meV per atom: 50
Magnetic moment, μB per formula unit: 0.00
Electronic total energy, eV for the cell shown: -22.9
V, Å³ per atom: 29.913
DOS at the Fermi energy, states/eV per atom: 1.1122
SG: Pm-3m
Formation energy, eV/atom: -0.0046

Cell lengths 5.308, 5.308, 5.308 Å; angles 90.00, 90.00, 90.00 degrees
Sites, in units of the cell vectors:
Sm  0.000  0.000  0.500
Sm  0.000  0.500  0.000
Sm  0.500  0.000  0.000
Mg  0.500  0.500  0.500
Co  0.000  0.000  0.000

***

Entry 9:
This record from Alexandria describes a relaxed Sc2MoHAu crystal. The functional is PBE.

Properties
Polymorph energy (0 for the lowest one), meV per atom: 880
Magnetic moment, μB per formula unit: 1.53
Electronic total energy, eV for the cell shown: -27.6
V, Å³ per atom: 18.868
DOS at the Fermi energy, states/eV per atom: 0.8410
SG: P4/mmm

Cell lengths 5.321, 5.321, 3.332 Å; angles 90.00, 90.00, 90.00 degrees
Sites, in units of the cell vectors:
Sc  0.000  0.500  0.000
Sc  0.500  0.000  0.000
Mo  0.000  0.000  0.500
H  0.500  0.500  0.500
Au  0.500  0.500  0.000

***

Entry 10:
This record from Alexandria describes a relaxed NaTbRe2O8 crystal. The functional is PBE.

Properties
E_form (uncorrected), meV per atom: -1949
Magnetic moment, μB per formula unit: 2.03
Electronic total energy, eV for the cell shown: -93.9
V, Å³ per atom: 17.832
DOS at the Fermi energy, states/eV per atom: 0.5214
SG: P-3m1

Cell lengths 5.992, 5.992, 6.883 Å; angles 90.00, 90.00, 120.00 degrees
Sites, in units of the cell vectors:
Na  0.000  0.000  0.000
Tb  0.000  0.000  0.500
Re  0.333  0.667  0.797
Re  0.667  0.333  0.203
O  0.168  0.337  0.710
O  0.168  0.832  0.710
O  0.333  0.667  0.052
O  0.337  0.168  0.290
O  0.663  0.832  0.710
O  0.667  0.333  0.948
O  0.832  0.168  0.290
O  0.832  0.663  0.290